An optimized crystal structure of Sm4Ho2Tl, computed with PBE-GGA.

Calculated values
The formation energy comes out at 3.09 eV per formula unit. Its total moment is 0.000 μB per formula unit. As for the energy relative to the lowest polymorph listed for this composition: 0.209 eV per atom.

a b c (Å): 6.040 6.168 6.977
angles (deg): 116.23 90.00 90.00
Element x y z (fractional)
Sm: 0.000 0.831 0.661
Sm: 0.000 0.169 0.339
Sm: 0.500 0.636 0.271
Sm: 0.500 0.364 0.729
Tl: 0.000 0.500 0.000
Ho: 0.500 0.884 0.767
Ho: 0.500 0.116 0.233